Here is a relaxed structure of Be2TlTe from Alexandria. Energies are from PBE-GGA.

- raw formation energy (eV per atom) = 0.40
- uncorrected energy (eV per atom) = -2.837

Unit cell a=6.1156 b=6.1156 c=9.9209 alpha=90.00 beta=90.00 gamma=90.00
Last column: nearest neighbours and their distance in Å.
Space group I-42d (No. 122)
Symmetry-distinct sites (fractional):
Be: 0.2269 0.2500 0.1250 x8  2 Te 2.41, 2 Tl 2.58
Tl: 0.0000 0.0000 0.5000 x4  4 Be 2.58
Te: 0.0000 0.0000 0.0000 x4  4 Be 2.41

=====

Here is a relaxed structure of BeTl3Te from Alexandria. Energies are from PBE-GGA.

- raw formation energy (eV per atom) = 0.10
- uncorrected energy (eV per atom) = -2.693

Unit cell a=5.1523 b=5.1523 c=5.1523 alpha=90.00 beta=90.00 gamma=90.00
Last column: nearest neighbours and their distance in Å.
Space group Pm-3m (No. 221)
Symmetry-distinct sites (fractional):
Be: 0.0000 0.0000 0.0000 x1  6 Tl 2.58
Tl: 0.0000 0.0000 0.5000 x3  2 Be 2.58
Te: 0.5000 0.5000 0.5000 x1  12 Tl 3.64

=====

Here is a relaxed structure of BeTlTe2 from Alexandria. Energies are from PBE-GGA.

- raw formation energy (eV per atom) = 0.11
- uncorrected energy (eV per atom) = -2.980

Unit cell a=3.5777 b=3.6955 c=16.5054 alpha=90.00 beta=90.00 gamma=90.00
Last column: nearest neighbours and their distance in Å.
Space group Imm2 (No. 44)
Symmetry-distinct sites (fractional):
Be: 0.0000 0.0000 0.0000 x2  6 Te 2.56-2.81
Tl: 0.0000 0.5000 0.2543 x2  6 Te 3.46-3.49, 4 Tl 3.58-3.70
Te: 0.0000 0.0000 0.4316 x2  4 Be 2.81
Te: 0.0000 0.5000 0.6110 x2  2 Be 2.56

=====

Here is a relaxed structure of Be2TlTe from Alexandria. Energies are from PBE-GGA.

- raw formation energy (eV per atom) = 0.66
- uncorrected energy (eV per atom) = -2.580

Unit cell a=3.5402 b=3.5402 c=6.5790 alpha=90.00 beta=90.00 gamma=90.00
Last column: nearest neighbours and their distance in Å.
Space group P4/mmm (No. 123)
Symmetry-distinct sites (fractional):
Be: 0.0000 0.0000 0.1674 x2  1 Be 2.20
Tl: 0.5000 0.5000 0.5000 x1  2 Te 3.29, 8 Be 3.33, 4 Tl 3.54
Te: 0.5000 0.5000 0.0000 x1  8 Be 2.73

=====

Q: What is the raw formation energy in the fourth record?
A: 0.66 eV per atom

=====

Q: Among the records above, which one has the highest raw formation energy?
A: number 4

=====

Q: Number 2 is which compound?
A: BeTl3Te

=====

Q: Among the records above, which one has the lowest uncorrected energy?
A: BeTlTe2